# 1
Density functional theory data (meta-GGA SCAN) for LaSiNi at its PBEsol-relaxed geometry.

The value obtained for the uncorrected formation energy is -2.16 eV/f.u.

It has space group I4_1md (No. 109), with a = 4.1373 Å, b = 4.1373 Å, c = 13.8071 Å, α = 90.00°, β = 90.00° and γ = 90.00°. Symmetry generates all atoms from La at (0.0000, 0.0000, 0.0000), Si at (0.0000, 0.0000, 0.4199) and Ni at (0.0000, 0.0000, 0.5893).

=====

# 2
Density functional theory data (meta-GGA SCAN) for SrY2P at its PBEsol-relaxed geometry.

Its energy of formation is -0.8125 eV/atom.

It has space group R-3m (No. 166, hexagonal axes), with a = 3.8979 Å, b = 3.8979 Å, c = 29.3273 Å, α = 90.00°, β = 90.00° and γ = 120.00°. Symmetry generates all atoms from Sr at (0.0000, 0.0000, 0.0000), Y at (0.0000, 0.0000, 0.2187) and P at (0.0000, 0.0000, 0.5000).

=====

# 3
Density functional theory data (meta-GGA SCAN) for Li2InBr at its PBEsol-relaxed geometry.

The value obtained for the uncorrected formation energy is -2.53 eV/f.u.

It has space group I-4m2 (No. 119), with a = 3.8395 Å, b = 3.8395 Å, c = 11.7724 Å, α = 90.00°, β = 90.00° and γ = 90.00°. Symmetry generates all atoms from Li at (0.0000, 0.0000, 0.0000), Li at (0.0000, 0.5000, 0.2500), In at (0.0000, 0.5000, 0.7500) and Br at (0.0000, 0.0000, 0.5000).

=====

Record-wise VASP energy values, in eV per atom: -23.819; -22.902; -15.039
Record-wise volume values, in Å³/atom: 19.7; 32.2; 21.7